No. 1
BaSbAs2 | PBE-GGA | relaxed

Unit cell a=5.088 b=5.075 c=4.885 alpha=85.52 beta=90.00 gamma=90.00
Fractional positions:
Sb: 0.500 0.860 0.776
As: 0.000 0.021 0.996
As: 0.500 0.120 0.268
Ba: 0.000 0.499 0.460

Output
Calculated density (g/cm³): 5.4
Crystal system: monoclinic


No. 2
BaSbAs2 | PBE-GGA | relaxed

Unit cell a=5.425 b=5.425 c=5.425 alpha=60.00 beta=60.00 gamma=60.00
Fractional positions:
Sb: 0.750 0.750 0.750
As: 0.000 0.000 0.000
As: 0.250 0.250 0.250
Ba: 0.500 0.500 0.500

Output
Calculated density (g/cm³): 6.0
Crystal system: cubic


No. 3
BaSb2As | PBE-GGA | relaxed

Unit cell a=5.253 b=5.063 c=5.112 alpha=83.72 beta=90.00 gamma=90.00
Fractional positions:
Sb: 0.000 0.104 0.012
Sb: 0.000 0.396 0.488
As: 0.500 0.250 0.250
Ba: 0.500 0.750 0.750

Output
Calculated density (g/cm³): 5.6
Crystal system: monoclinic


No. 4
BaSbAs | PBE-GGA | relaxed

Unit cell a=4.890 b=4.890 c=4.827 alpha=90.00 beta=90.00 gamma=120.00
Fractional positions:
Sb: 0.667 0.333 0.898
As: 0.000 0.000 0.988
Ba: 0.333 0.667 0.432

Output
Calculated density (g/cm³): 5.5
Distance to the lowest polymorph of the same formula (meV per atom): 73
Crystal system: trigonal


No. 5
BaSb2As | PBE-GGA | relaxed

Unit cell a=6.111 b=6.111 c=6.122 alpha=65.43 beta=65.43 gamma=39.12
Fractional positions:
Sb: 0.037 0.037 0.888
Sb: 0.760 0.760 0.724
As: 0.467 0.467 0.645
Ba: 0.236 0.236 0.243

Output
Calculated density (g/cm³): 5.8
Crystal system: monoclinic


No. 6
BaSbAs2 | PBE-GGA | relaxed

Unit cell a=4.304 b=4.303 c=7.026 alpha=90.00 beta=90.00 gamma=90.00
Fractional positions:
Sb: 0.500 0.500 0.908
As: 0.000 0.000 0.900
As: 0.500 0.500 0.274
Ba: 0.000 0.000 0.418

Output
Calculated density (g/cm³): 5.2
Crystal system: tetragonal


No. 7
BaSbAs | PBE-GGA | relaxed

Unit cell a=5.448 b=5.448 c=5.448 alpha=60.00 beta=60.00 gamma=60.00
Fractional positions:
Sb: 0.000 0.000 0.000
As: 0.500 0.500 0.500
Ba: 0.750 0.750 0.750

Output
Calculated density (g/cm³): 4.9
Distance to the lowest polymorph of the same formula (meV per atom): 765
Crystal system: cubic


No. 8
BaSb2As2 | PBE-GGA | relaxed

Unit cell a=4.574 b=4.574 c=7.748 alpha=72.83 beta=72.83 gamma=90.00
Fractional positions:
Sb: 0.750 0.250 0.500
Sb: 0.250 0.750 0.500
As: 0.414 0.414 0.172
As: 0.586 0.586 0.828
Ba: 0.000 0.000 0.000

Output
Calculated density (g/cm³): 6.0
Distance to the lowest polymorph of the same formula (meV per atom): 43
Crystal system: tetragonal


No. 9
BaSbAs2 | PBE-GGA | relaxed

Unit cell a=4.974 b=4.974 c=4.380 alpha=90.00 beta=90.00 gamma=90.02
Fractional positions:
Sb: 0.000 0.500 0.500
As: 0.000 0.000 0.000
As: 0.500 0.500 0.000
Ba: 0.500 0.000 0.500

Output
Calculated density (g/cm³): 6.3
Crystal system: tetragonal


No. 10
BaSb2As | PBE-GGA | relaxed

Unit cell a=4.106 b=4.511 c=6.850 alpha=90.00 beta=90.00 gamma=90.00
Fractional positions:
Sb: 0.000 0.000 0.091
Sb: 0.500 0.500 0.215
As: 0.000 0.000 0.486
Ba: 0.500 0.500 0.708

Output
Calculated density (g/cm³): 6.0
Crystal system: orthorhombic


No. 11
Ba6Sb2AsSe | PBE-GGA | relaxed

Unit cell a=8.118 b=9.169 c=11.945 alpha=90.00 beta=90.16 gamma=90.00
Fractional positions:
Ba: 0.324 0.693 0.068
Ba: 0.824 0.807 0.568
Ba: 0.676 0.307 0.932
Ba: 0.176 0.193 0.432
Ba: 0.320 0.685 0.429
Ba: 0.820 0.815 0.929
Ba: 0.680 0.315 0.571
Ba: 0.180 0.185 0.071
Ba: 0.859 0.554 0.252
Ba: 0.359 0.946 0.752
Ba: 0.141 0.446 0.748
Ba: 0.641 0.054 0.248
Sb: 0.044 0.902 0.252
Sb: 0.544 0.598 0.752
Sb: 0.956 0.098 0.748
Sb: 0.456 0.402 0.248
As: 0.500 0.000 0.000
As: 0.000 0.500 0.500
Se: 0.500 0.000 0.500
Se: 0.000 0.500 0.000

Output
Calculated density (g/cm³): 4.6
Crystal system: monoclinic


No. 12
BaSbAs2Se | PBE-GGA | relaxed

Unit cell a=5.842 b=5.881 c=5.842 alpha=90.00 beta=90.00 gamma=90.00
Site moments in Bohr magnetons follow the coordinates.
Fractional positions:
Sb: 0.500 0.500 0.500  -0.40
As: 0.000 0.000 0.500  0.24
As: 0.500 0.000 0.000  0.20
Ba: 0.000 0.000 0.000  0.00
Se: 0.000 0.500 0.000  0.19

Output
Calculated density (g/cm³): 4.0
Distance to the lowest polymorph of the same formula (meV per atom): 1218
Crystal system: tetragonal


| no. | formation energy (no corrections) (eV/atom) |
| --- | --- |
| 1 | -0.45 |
| 2 | -0.03 |
| 3 | -0.43 |
| 4 | -0.71 |
| 5 | -0.47 |
| 6 | -0.29 |
| 7 | -0.01 |
| 8 | -0.31 |
| 9 | -0.30 |
| 10 | -0.30 |
| 11 | -1.17 |
| 12 | 0.99 |